Entry from the Alexandria database: an optimized crystal structure of Cr3Cu (PBEsol).

a = 4.6955 Å, b = 4.6955 Å, c = 4.6955 Å
α = 90.00°, β = 90.00°, γ = 90.00°
Fractional coordinates of all 4 atoms:
Cr 0.0000 0.0000 0.5000
Cr 0.0000 0.5000 0.0000
Cr 0.5000 0.0000 0.0000
Cu 0.0000 0.0000 0.0000

Output
**SG**: No. 221
**Energy of formation**: 2.179 eV/atom
**Raw total energy**: -6.59 eV per atom

***

Entry from the Alexandria database: an optimized crystal structure of KCrCuF2 (PBEsol).

a = 4.1874 Å, b = 4.1874 Å, c = 5.3437 Å
α = 90.00°, β = 90.00°, γ = 90.00°
Fractional coordinates of all 5 atoms:
K 0.0000 0.0000 0.0000
Cr 0.5000 0.5000 0.0000
Cu 0.0000 0.0000 0.5000
F 0.0000 0.5000 0.5000
F 0.5000 0.0000 0.5000

Output
**SG**: No. 123
**Formation energy without anion corrections**: -103 meV per atom
**Raw total energy**: -4.02 eV per atom

***

Entry from the Alexandria database: an optimized crystal structure of CrCuN2F (PBEsol).

a = 3.6399 Å, b = 3.6399 Å, c = 3.8230 Å
α = 90.00°, β = 90.00°, γ = 90.00°
Fractional coordinates of all 5 atoms:
Cr 0.0000 0.0000 0.0000
Cu 0.5000 0.5000 0.5000
N 0.0000 0.5000 0.0000
N 0.5000 0.0000 0.0000
F 0.0000 0.0000 0.5000

Output
**SG**: No. 123
**Formation energy without anion corrections**: 24 meV per atom
**Raw total energy**: -6.69 eV per atom